Entry 1:
Below is CsScGa2 after structural relaxation, with properties calculated at the PBE-GGA level.

The structure belongs to space group Fm-3m (No. 225); the cell edges are 7.687, 7.687 and 7.687 Å and the angles 90.00°, 90.00° and 90.00°. The inequivalent atoms are Cs at (0.000, 0.000, 0.000), Sc at (0.000, 0.000, 0.500) and Ga at (0.250, 0.250, 0.250).

The calculation puts the energy of formation at 368.6 meV/atom. The calculation puts the total DFT energy (no corrections) at -2.941 eV per atom. The mass density comes out at 4.6 g/cm3.

---

Entry 2:
Below is CuRePb2 after structural relaxation, with properties calculated at the PBE-GGA level.

The structure belongs to space group Cm (No. 8); the cell edges are 13.519, 3.051 and 4.645 Å and the angles 90.00°, 110.07° and 90.00°. The inequivalent atoms are Cu at (0.000, 0.000, 0.000), Re at (0.333, 0.000, 0.834), Pb at (0.115, 0.500, 0.616) and Pb at (0.332, 0.500, 0.333).

The calculation puts the energy of formation at 750.4 meV/atom. As for the energy above the most stable polymorph in this dataset: 0.1562 eV per atom. The calculation puts the total DFT energy (no corrections) at -5.240 eV per atom. The mass density comes out at 12.3 g/cm3.

---

Entry 3:
Below is Na2ThCu2Se4 after structural relaxation, with properties calculated at the PBE-GGA level.

The structure belongs to space group C2/m (No. 12); the cell edges are 14.769, 4.093 and 7.631 Å and the angles 90.00°, 112.47° and 90.00°. The inequivalent atoms are Na at (0.136, 0.000, 0.073), Th at (0.000, 0.000, 0.500), Cu at (0.185, 0.500, 0.499), Se at (0.018, 0.500, 0.243) and Se at (0.212, 0.000, 0.707).

The calculation puts the total DFT energy (no corrections) at -4.624 eV per atom. The mass density comes out at 5.6 g/cm3. The value obtained for the energy relative to the elements, uncorrected is -1.048 eV/atom.

---

Entry 4:
Below is SO2F2 after structural relaxation, with properties calculated at the PBE-GGA level.

The structure belongs to space group P4_12_12 (No. 92); the cell edges are 5.379, 5.379 and 12.049 Å and the angles 90.00°, 90.00° and 90.00°. The inequivalent atoms are S at (0.080, 0.080, 0.000), O at (0.011, 0.320, 0.963) and F at (0.005, 0.112, 0.409).

The calculation puts the total DFT energy (no corrections) at -5.084 eV per atom. The mass density comes out at 1.9 g/cm3. The value obtained for the energy relative to the elements, uncorrected is -1.527 eV/atom.

---

Entry 5:
Below is RbTl2GeTe4 after structural relaxation, with properties calculated at the PBE-GGA level.

The structure belongs to space group C2/c (No. 15); the cell edges are 12.959, 13.173 and 8.857 Å and the angles 90.00°, 133.01° and 90.00°. The inequivalent atoms are Rb at (0.000, 0.000, 0.000), Tl at (0.000, 0.500, 0.000), Tl at (0.250, 0.250, 0.000), Ge at (0.250, 0.250, 0.500), Te at (0.000, 0.263, 0.025) and Te at (0.219, 0.488, 0.470).

The calculation puts the total DFT energy (no corrections) at -3.048 eV per atom. The mass density comes out at 6.5 g/cm3. The value obtained for the energy relative to the elements, uncorrected is -0.187 eV/atom.